! K4PmU3Te8 | the Alexandria database | GGA-PBE | relaxed; values from VASP
&SYSTEM
  ibrav = 0, nat = 16, ntyp = 4
/
ATOMIC_SPECIES
U 238.03 U.upf
Te 127.60 Te.upf
Pm 145.00 Pm.upf
K 39.10 K.upf
CELL_PARAMETERS angstrom
9.046 0.000 0.000
0.000 9.792 0.525
-4.523 -4.521 6.397
ATOMIC_POSITIONS crystal
U 0.000 0.500 0.500
U 0.500 0.500 0.000
Te 0.239 0.713 0.974
Te 0.239 0.713 0.478
Te 0.737 0.711 0.474
Te 0.735 0.713 0.974
Pm 0.000 0.500 0.000
Te 0.263 0.289 0.526
K 0.500 0.000 0.000
K 0.000 0.000 0.000
U 0.500 0.500 0.500
Te 0.761 0.287 0.026
Te 0.265 0.287 0.026
K 0.000 0.000 0.500
Te 0.761 0.287 0.522
K 0.500 0.000 0.500
! uncorrected formation energy: -0.983 eV per atom
! symmetry: R-3m (166)
! spin magnetization: 0.563 μB per atom
! crystal system: trigonal